Density functional theory data (PBE) for a geometry-optimized MnSiC2 structure.

The structure in POSCAR format:
```
MnSiC2
1.0
4.5062 0.0000 0.0000
0.0000 4.5062 0.0000
2.2531 2.2531 4.2692
Si Mn C
2 2 4
Direct
0.5000 0.5000 0.0000
0.2500 0.7500 0.5000
0.0000 0.0000 0.0000
0.7500 0.2500 0.5000
0.6134 0.1250 0.2500
0.1366 0.6250 0.2500
0.3750 0.3866 0.7500
0.8750 0.8634 0.7500
```

Summary:
As for the magnetic moment: 5.16 μB per cell. For the formation energy (no corrections), the calculation gives 0.363 eV/atom.

---

Density functional theory data (PBE) for a geometry-optimized Mn2SiC structure.

The structure in POSCAR format:
```
Mn2SiC
1.0
-0.0942 -1.3737 6.0321
-3.1400 -5.1874 -1.2304
0.2866 -4.3805 2.1801
Si Mn C
2 4 2
Direct
0.0000 0.0000 0.0000
0.7500 0.2500 0.5000
0.5261 0.1250 0.2500
0.2239 0.6250 0.2500
0.3750 0.4739 0.7500
0.8750 0.7761 0.7500
0.5000 0.5000 0.0000
0.2500 0.7500 0.5000
```

Summary:
As for the magnetic moment: 3.84 μB per cell. For the formation energy (no corrections), the calculation gives 0.171 eV/atom.

---

Density functional theory data (PBE) for a geometry-optimized MnSi2C2 structure.

The structure in POSCAR format:
```
MnSi2C2
1.0
-2.5243 -3.3837 4.8668
0.2777 -5.3514 -3.5766
2.7404 -0.5515 1.0379
Si Mn C
4 2 4
Direct
0.3746 0.8746 0.0000
0.8746 0.6254 0.0000
0.6254 0.1254 0.0000
0.1254 0.3746 0.0000
0.0000 0.0000 0.0000
0.5000 0.5000 0.0000
0.2615 0.7615 0.5000
0.7615 0.7385 0.5000
0.7385 0.2385 0.5000
0.2385 0.2615 0.5000
```

Summary:
The offset from the most stable computed form comes out at 0.059 eV per atom. As for the magnetic moment: 6.11 μB per cell. For the formation energy (no corrections), the calculation gives 1.141 eV/atom.

---

Density functional theory data (PBE) for a geometry-optimized MnSiC3 structure.

The structure in POSCAR format:
```
MnSiC3
1.0
3.7740 0.0000 0.0000
0.0000 3.7740 0.0000
0.0000 0.0000 3.7740
Si Mn C
1 1 3
Direct
0.5000 0.5000 0.5000
0.0000 0.0000 0.0000
0.0000 0.5000 0.0000
0.0000 0.0000 0.5000
0.5000 0.0000 0.0000
```

Summary:
The offset from the most stable computed form comes out at 0.000 eV per atom. As for the magnetic moment: 0.00 μB per cell. For the formation energy (no corrections), the calculation gives 1.964 eV/atom.

---

Density functional theory data (PBE) for a geometry-optimized Mn2SiC structure.

The structure in POSCAR format:
```
Mn2SiC
1.0
0.6093 -3.5331 -1.3017
-2.9209 -2.4238 -0.3769
-1.2213 -0.9890 -3.4755
Si Mn C
1 2 1
Direct
0.5000 0.5000 0.5000
0.2500 0.2500 0.2500
0.7500 0.7500 0.7500
0.0000 0.0000 0.0000
```

Summary:
As for the magnetic moment: 1.70 μB per cell. For the formation energy (no corrections), the calculation gives 0.643 eV/atom.

---

Density functional theory data (PBE) for a geometry-optimized SmMn2Si2C structure.

The structure in POSCAR format:
```
SmMn2Si2C
1.0
3.9079 0.0000 0.0000
0.0000 3.9079 0.0000
0.0000 0.0000 5.2825
Sm Mn Si C
1 2 2 1
Direct
0.0000 0.0000 0.5000
0.5000 0.0000 0.0000
0.0000 0.5000 0.0000
0.5000 0.5000 0.7315
0.5000 0.5000 0.2685
0.0000 0.0000 0.0000
```

Summary:
As for the magnetic moment: 0.68 μB per cell. For the formation energy (no corrections), the calculation gives -0.473 eV/atom.

---

Repeat the fourth record exactly.
Density functional theory data (PBE) for a geometry-optimized MnSiC3 structure.

The structure in POSCAR format:
```
MnSiC3
1.0
3.7740 0.0000 0.0000
0.0000 3.7740 0.0000
0.0000 0.0000 3.7740
Si Mn C
1 1 3
Direct
0.5000 0.5000 0.5000
0.0000 0.0000 0.0000
0.0000 0.5000 0.0000
0.0000 0.0000 0.5000
0.5000 0.0000 0.0000
```

Summary:
The offset from the most stable computed form comes out at 0.000 eV per atom. As for the magnetic moment: 0.00 μB per cell. For the formation energy (no corrections), the calculation gives 1.964 eV/atom.